VASP calculation (GGA-PBE) on TlReTeN2 after structural relaxation.

```
TlReTeN2
1.0
4.2191 0.0000 0.0000
0.0000 4.2191 0.0000
0.0000 0.0000 6.6798
Re Tl Te N
1 1 1 2
Cartesian
2.1095 2.1095 3.3399
0.0000 0.0000 0.0000
0.0000 0.0000 3.3399
0.0000 2.1095 0.0000
2.1095 0.0000 0.0000
```

## Properties
* ΔE to the lowest computed polymorph: 188.5 kJ per mole of atoms
* total magnetic moment: 7.0 μB per formula unit
* raw formation energy: 2.55 eV per atom
* SG: P4/mmm